Model 1:
# TcAu2Cl, optimized geometry, DFT GGA-PBE
data_TcAu2Cl
_chemical_formula_sum 'Tc2 Au4 Cl2'
_cell_length_a 2.937
_cell_length_b 5.209
_cell_length_c 9.308
_cell_angle_alpha 90.00
_cell_angle_beta 90.00
_cell_angle_gamma 90.00
_symmetry_space_group_name_H-M 'C m m m'
_symmetry_Int_Tables_number 65
_symmetry_space_group_name_Hall '-C 2 2'
loop_
_atom_site_label
_atom_site_fract_x
_atom_site_fract_y
_atom_site_fract_z
Tc1 0.000 0.000 0.000
Au1 0.000 0.500 0.248
Cl1 0.000 0.000 0.500
# V = 142 Å³ per cell
# total magnetization = 1.24 μB per formula unit

---

Model 2:
# TcAu2Cl, optimized geometry, DFT GGA-PBE
data_TcAu2Cl
_chemical_formula_sum 'Tc2 Au4 Cl2'
_cell_length_a 3.874
_cell_length_b 3.874
_cell_length_c 10.405
_cell_angle_alpha 90.00
_cell_angle_beta 90.00
_cell_angle_gamma 90.00
_symmetry_space_group_name_H-M 'I 4/m m m'
_symmetry_Int_Tables_number 139
_symmetry_space_group_name_Hall '-I 4 2'
loop_
_atom_site_label
_atom_site_fract_x
_atom_site_fract_y
_atom_site_fract_z
Tc1 0.000 0.000 0.000
Au1 0.000 0.500 0.250
Cl1 0.000 0.000 0.500
# V = 156 Å³ per cell
# total magnetization = 3.98 μB per formula unit

---

Model 3:
# TcAu2Cl, optimized geometry, DFT GGA-PBE
data_TcAu2Cl
_chemical_formula_sum 'Tc4 Au8 Cl4'
_cell_length_a 6.732
_cell_length_b 6.732
_cell_length_c 6.732
_cell_angle_alpha 90.00
_cell_angle_beta 90.00
_cell_angle_gamma 90.00
_symmetry_space_group_name_H-M 'F m -3 m'
_symmetry_Int_Tables_number 225
_symmetry_space_group_name_Hall '-F 4 2 3'
loop_
_atom_site_label
_atom_site_fract_x
_atom_site_fract_y
_atom_site_fract_z
Tc1 0.000 0.000 0.000
Au1 0.250 0.250 0.250
Cl1 0.000 0.000 0.500
# V = 305 Å³ per cell
# total magnetization = 3.66 μB per formula unit

---

Most stable structure: model 1

---

Model 1:
# TcAu2Cl, optimized geometry, DFT GGA-PBE
data_TcAu2Cl
_chemical_formula_sum 'Tc1 Au2 Cl1'
_cell_length_a 2.989
_cell_length_b 2.989
_cell_length_c 8.015
_cell_angle_alpha 90.00
_cell_angle_beta 90.00
_cell_angle_gamma 90.00
_symmetry_space_group_name_H-M 'P 4/m m m'
_symmetry_Int_Tables_number 123
_symmetry_space_group_name_Hall '-P 4 2'
loop_
_atom_site_label
_atom_site_fract_x
_atom_site_fract_y
_atom_site_fract_z
Tc1 0.000 0.000 0.000
Au1 0.500 0.500 0.231
Cl1 0.000 0.000 0.500
# V = 72 Å³ per cell
# total magnetization = 0.92 μB per formula unit

---

Model 2:
# TcAu2Cl, optimized geometry, DFT GGA-PBE
data_TcAu2Cl
_chemical_formula_sum 'Tc3 Au6 Cl3'
_cell_length_a 2.9717
_cell_length_b 2.9717
_cell_length_c 29.1086
_cell_angle_alpha 90.00
_cell_angle_beta 90.00
_cell_angle_gamma 120.00
_symmetry_space_group_name_H-M 'R 3 m'
_symmetry_Int_Tables_number 160
_symmetry_space_group_name_Hall 'R 3 -2"'
loop_
_atom_site_label
_atom_site_fract_x
_atom_site_fract_y
_atom_site_fract_z
Tc1 0.0000 0.0000 0.0000
Au1 0.0000 0.0000 0.2577
Au2 0.0000 0.0000 0.5093
Cl1 0.0000 0.0000 0.7267
# V = 223 Å³ per cell
# total magnetization = 0.00 μB per formula unit

---

Most stable structure: model 2

---

Model 1:
# TcAuCl2, optimized geometry, DFT GGA-PBE
data_TcAuCl2
_chemical_formula_sum 'Tc2 Au2 Cl4'
_cell_length_a 2.891
_cell_length_b 5.455
_cell_length_c 10.977
_cell_angle_alpha 90.00
_cell_angle_beta 90.00
_cell_angle_gamma 90.00
_symmetry_space_group_name_H-M 'C m m m'
_symmetry_Int_Tables_number 65
_symmetry_space_group_name_Hall '-C 2 2'
loop_
_atom_site_label
_atom_site_fract_x
_atom_site_fract_y
_atom_site_fract_z
Tc1 0.000 0.000 0.000
Au1 0.000 0.000 0.500
Cl1 0.000 0.500 0.172
# V = 173 Å³ per cell
# total magnetization = 0.00 μB per formula unit

---

Model 2:
# TcAuCl2, optimized geometry, DFT GGA-PBE
data_TcAuCl2
_chemical_formula_sum 'Tc2 Au2 Cl4'
_cell_length_a 10.618
_cell_length_b 3.392
_cell_length_c 7.279
_cell_angle_alpha 90.00
_cell_angle_beta 121.34
_cell_angle_gamma 90.00
_symmetry_space_group_name_H-M 'C 1 m 1'
_symmetry_Int_Tables_number 8
_symmetry_space_group_name_Hall 'C -2y'
loop_
_atom_site_label
_atom_site_fract_x
_atom_site_fract_y
_atom_site_fract_z
Tc1 0.000 0.000 0.000
Au1 0.278 0.000 0.858
Cl1 0.051 0.500 0.724
Cl2 0.165 0.500 0.260
# V = 224 Å³ per cell
# total magnetization = 3.99 μB per formula unit

---

Model 3:
# TcAuCl2, optimized geometry, DFT GGA-PBE
data_TcAuCl2
_chemical_formula_sum 'Tc1 Au1 Cl2'
_cell_length_a 4.723
_cell_length_b 2.970
_cell_length_c 7.370
_cell_angle_alpha 90.00
_cell_angle_beta 108.41
_cell_angle_gamma 90.00
_symmetry_space_group_name_H-M 'P 1 m 1'
_symmetry_Int_Tables_number 6
_symmetry_space_group_name_Hall 'P -2y'
loop_
_atom_site_label
_atom_site_fract_x
_atom_site_fract_y
_atom_site_fract_z
Tc1 0.000 0.000 0.000
Au1 0.477 0.500 0.954
Cl1 0.132 0.500 0.268
Cl2 0.841 0.000 0.677
# V = 98 Å³ per cell
# total magnetization = 1.42 μB per formula unit

---

Model 4:
# TcAuCl2, optimized geometry, DFT GGA-PBE
data_TcAuCl2
_chemical_formula_sum 'Tc2 Au2 Cl4'
_cell_length_a 3.026
_cell_length_b 5.540
_cell_length_c 9.662
_cell_angle_alpha 90.00
_cell_angle_beta 90.00
_cell_angle_gamma 90.00
_symmetry_space_group_name_H-M 'C m m 2'
_symmetry_Int_Tables_number 35
_symmetry_space_group_name_Hall 'C 2 -2'
loop_
_atom_site_label
_atom_site_fract_x
_atom_site_fract_y
_atom_site_fract_z
Tc1 0.000 0.000 0.000
Au1 0.000 0.500 0.766
Cl1 0.000 0.000 0.549
Cl2 0.000 0.500 0.190
# V = 162 Å³ per cell
# total magnetization = 1.13 μB per formula unit

---

Most stable structure: model 3

---

Model 1:
# Tc3AuCl, optimized geometry, DFT GGA-PBE
data_Tc3AuCl
_chemical_formula_sum 'Tc3 Au1 Cl1'
_cell_length_a 4.351
_cell_length_b 4.351
_cell_length_c 4.351
_cell_angle_alpha 90.00
_cell_angle_beta 90.00
_cell_angle_gamma 90.00
_symmetry_space_group_name_H-M 'P m -3 m'
_symmetry_Int_Tables_number 221
_symmetry_space_group_name_Hall '-P 4 2 3'
loop_
_atom_site_label
_atom_site_fract_x
_atom_site_fract_y
_atom_site_fract_z
Tc1 0.000 0.000 0.500
Au1 0.500 0.500 0.500
Cl1 0.000 0.000 0.000
# V = 82 Å³ per cell
# total magnetization = 0.56 μB per formula unit

---

Model 2:
# Tc3AuCl, optimized geometry, DFT GGA-PBE
data_Tc3AuCl
_chemical_formula_sum 'Tc3 Au1 Cl1'
_cell_length_a 5.172
_cell_length_b 5.172
_cell_length_c 5.172
_cell_angle_alpha 90.00
_cell_angle_beta 90.00
_cell_angle_gamma 90.00
_symmetry_space_group_name_H-M 'P m -3 m'
_symmetry_Int_Tables_number 221
_symmetry_space_group_name_Hall '-P 4 2 3'
loop_
_atom_site_label
_atom_site_fract_x
_atom_site_fract_y
_atom_site_fract_z
Tc1 0.000 0.000 0.500
Au1 0.000 0.000 0.000
Cl1 0.500 0.500 0.500
# V = 138 Å³ per cell
# total magnetization = 11.98 μB per formula unit

---

Most stable structure: model 1